Entry 1:
Computed, not measured: crystalline Mg3Zn at its relaxed geometry at the PBE-GGA level of DFT.

Unit cell a=5.697 b=5.697 c=5.697 alpha=116.97 beta=116.97 gamma=116.97
Atoms (fractional coordinates):
Mg (0.000, 0.500, 0.500)
Mg (0.500, 0.000, 0.500)
Mg (0.500, 0.500, 0.000)
Zn (0.000, 0.000, 0.000)

The value obtained for the energy of formation from the pure elements is 34 meV/atom. Its total magnetization is 0.0 μB/cell.

---

Entry 2:
Computed, not measured: crystalline Mg3Zn2 at its relaxed geometry at the PBE-GGA level of DFT.

Unit cell a=4.581 b=4.581 c=5.563 alpha=90.00 beta=90.00 gamma=120.00
Atoms (fractional coordinates):
Mg (0.000, 0.000, 0.000)
Mg (0.333, 0.667, 0.353)
Mg (0.667, 0.333, 0.647)
Zn (0.333, 0.667, 0.853)
Zn (0.667, 0.333, 0.147)

The value obtained for the energy of formation from the pure elements is -37 meV/atom. Its total magnetization is 0.0 μB/cell.

---

Entry 3:
Computed, not measured: crystalline MgZn at its relaxed geometry at the PBE-GGA level of DFT.

Unit cell a=3.130 b=7.517 c=7.517 alpha=139.40 beta=90.00 gamma=90.00
Atoms (fractional coordinates):
Mg (0.000, 0.000, 0.000)
Mg (0.500, 0.101, 0.430)
Mg (0.500, 0.430, 0.101)
Zn (0.000, 0.497, 0.497)
Zn (0.000, 0.581, 0.917)
Zn (0.000, 0.917, 0.581)

The value obtained for the energy of formation from the pure elements is 16 meV/atom. Its total magnetization is 0.0 μB/cell.